# Hf2Zr7Sc3 | the Alexandria database | PBE | relaxed
data_Hf2Zr7Sc3
_symmetry_space_group_name_H-M 'P 1 2/m 1'
_symmetry_Int_Tables_number 10
_cell_length_a 5.2037
_cell_length_b 3.1837
_cell_length_c 16.9964
_cell_angle_alpha 90.00
_cell_angle_beta 92.28
_cell_angle_gamma 90.00
loop_
_symmetry_equiv_pos_as_xyz
'x,y,z'
'-x,-y,-z'
'-x,y,-z'
'x,-y,z'
loop_
_atom_site_label
_atom_site_type_symbol
_atom_site_fract_x
_atom_site_fract_y
_atom_site_fract_z
Hf1 Hf 0.2321 0.0000 0.2943
Zr1 Zr 0.1932 0.5000 0.1464
Zr2 Zr 0.2417 0.0000 0.4593
Zr3 Zr 0.2979 0.0000 0.8173
Zr4 Zr 0.5000 0.5000 0.0000
Sc1 Sc 0.0000 0.0000 0.0000
Sc2 Sc 0.2622 0.5000 0.6294
# Size of the total moment (μB/cell): 0.000
# V (Å³/f.u.): 281.4
# ΔH_f (0 K) (meV/atom): 103



# Mg5Cd2Au2 | the Alexandria database | PBE | relaxed
data_Mg5Cd2Au2
_symmetry_space_group_name_H-M 'C m c e'
_symmetry_Int_Tables_number 64
_symmetry_space_group_name_Hall '-C 2ac 2'
_cell_length_a 14.2200
_cell_length_b 7.4784
_cell_length_c 7.4009
_cell_angle_alpha 90.00
_cell_angle_beta 90.00
_cell_angle_gamma 90.00
loop_
_atom_site_label
_atom_site_type_symbol
_atom_site_fract_x
_atom_site_fract_y
_atom_site_fract_z
Mg1 Mg 0.0000 0.0000 0.0000
Mg2 Mg 0.1221 0.1638 0.3347
Cd1 Cd 0.2124 0.0000 0.0000
Au1 Au 0.0000 0.1391 0.6367
# Size of the total moment (μB/cell): 0.000
# V (Å³/f.u.): 196.8
# ΔH_f (0 K) (meV/atom): -279



# CeHo3Tm7 | the Alexandria database | PBE | relaxed
data_CeHo3Tm7
_symmetry_space_group_name_H-M 'P 3 m 1'
_symmetry_Int_Tables_number 156
_cell_length_a 6.9326
_cell_length_b 6.9326
_cell_length_c 8.5025
_cell_angle_alpha 90.00
_cell_angle_beta 90.00
_cell_angle_gamma 120.00
loop_
_symmetry_equiv_pos_as_xyz
'x,y,z'
'-y,x-y,z'
'-x+y,-x,z'
'-y,-x,z'
'-x+y,y,z'
'x,x-y,z'
loop_
_atom_site_label
_atom_site_type_symbol
_atom_site_fract_x
_atom_site_fract_y
_atom_site_fract_z
Ce1 Ce 0.0000 0.0000 0.0000
Ho1 Ho 0.1655 0.3311 0.3340
Tm1 Tm 0.0010 0.5005 0.9997
Tm2 Tm 0.3293 0.1646 0.6717
Tm3 Tm 0.3333 0.6667 0.6682
# Size of the total moment (μB/cell): 0.868
# V (Å³/f.u.): 353.9
# ΔH_f (0 K) (meV/atom): 208



# PmTl3Br6 | the Alexandria database | PBE | relaxed
data_PmTl3Br6
_symmetry_space_group_name_H-M 'P 1 21/c 1'
_symmetry_Int_Tables_number 14
_cell_length_a 7.8626
_cell_length_b 8.6679
_cell_length_c 13.5011
_cell_angle_alpha 90.00
_cell_angle_beta 122.20
_cell_angle_gamma 90.00
loop_
_symmetry_equiv_pos_as_xyz
'x,y,z'
'-x,-y,-z'
'-x,y+1/2,-z+1/2'
'x,-y+1/2,z+1/2'
loop_
_atom_site_label
_atom_site_type_symbol
_atom_site_fract_x
_atom_site_fract_y
_atom_site_fract_z
Pm1 Pm 0.0000 0.0000 0.0000
Tl1 Tl 0.2985 0.0775 0.7695
Tl2 Tl 0.5000 0.0000 0.5000
Br1 Br 0.0948 0.0655 0.2339
Br2 Br 0.2437 0.7231 0.0820
Br3 Br 0.3510 0.1691 0.0462
# Size of the total moment (μB/cell): 0.000
# V (Å³/f.u.): 389.3
# Formation energy from raw total energies (meV per atom): -1285